## NbAl2SbN (PBE)

Data for crystalline NbAl2SbN at its relaxed geometry.

Values from the calculation:
As for the magnetization: 3.15 Bohr magnetons per cell. Its space group is No. 123. The value obtained for the final energy is -4.540 eV per atom. Its formation energy without anion corrections is 1461 meV/atom. For the density of states at the Fermi level, the calculation gives 0.52 states/eV per atom.

Geometry as POSCAR:
```
NbAl2SbN
1.0
5.139 0.000 0.000
0.000 5.139 0.000
0.000 0.000 5.259
Nb Al Sb N
1 2 1 1
direct
0.000 0.000 0.000
0.000 0.500 0.000
0.500 0.000 0.000
0.000 0.000 0.500
0.500 0.500 0.500
```